(1)
## Li2YTe (SCAN)

Data for Li2YTe at its PBEsol-relaxed geometry.

## Properties
- density of states at the Fermi level (states/eV per cell) = 3.03
- space-group type = R-3m (166)
- raw total energy (eV for the cell shown) = -71.57
- polymorph energy (0 for the lowest one) (meV per atom) = 123
- uncorrected formation energy (eV/atom) = -0.43
- V (Å³ per cell) = 87.6

abc: 4.230 4.230 6.161
angles: 69.92 69.92 60.00
Atoms (fractional coordinates):
Li 0.214 0.214 0.357
Li 0.786 0.786 0.643
Y 0.000 0.000 0.000
Te 0.500 0.500 0.500


(2)
## SbSe2Cl (SCAN)

Data for SbSe2Cl at its PBEsol-relaxed geometry.

## Properties
- density of states at the Fermi level (states/eV per cell) = 1.95
- space-group type = R-3m (166)
- raw total energy (eV for the cell shown) = -85.67
- polymorph energy (0 for the lowest one) (meV per atom) = 149
- uncorrected formation energy (eV/atom) = -0.07
- V (Å³ per cell) = 94.9

abc: 3.872 3.872 7.644
angles: 75.33 75.33 60.00
Atoms (fractional coordinates):
Sb 0.000 0.000 0.000
Se 0.259 0.259 0.224
Se 0.741 0.741 0.776
Cl 0.500 0.500 0.500


(3)
## KBaOs (SCAN)

Data for KBaOs at its PBEsol-relaxed geometry.

## Properties
- density of states at the Fermi level (states/eV per cell) = 3.80
- space-group type = I4mm (107)
- raw total energy (eV for the cell shown) = -116.15
- polymorph energy (0 for the lowest one) (meV per atom) = 4
- V (Å³ per cell) = 98.5

abc: 3.449 3.449 8.633
angles: 101.52 101.52 90.00
Atoms (fractional coordinates):
Ba 0.952 0.952 0.904
K 0.709 0.709 0.418
Os 0.339 0.339 0.678


(4)
## Zr2InC (SCAN)

Data for Zr2InC at its PBEsol-relaxed geometry.

## Properties
- density of states at the Fermi level (states/eV per cell) = 1.95
- space-group type = P6_3/mmc (194)
- raw total energy (eV for the cell shown) = -216.47
- polymorph energy (0 for the lowest one) (meV per atom) = 0
- V (Å³ per cell) = 143.5

abc: 3.331 3.331 14.928
angles: 90.00 90.00 120.00
Atoms (fractional coordinates):
Zr 0.667 0.333 0.918
Zr 0.667 0.333 0.582
Zr 0.333 0.667 0.082
Zr 0.333 0.667 0.418
In 0.667 0.333 0.250
In 0.333 0.667 0.750
C 0.000 0.000 0.000
C 0.000 0.000 0.500


(5)
## SrIn2Rh (SCAN)

Data for SrIn2Rh at its PBEsol-relaxed geometry.

## Properties
- density of states at the Fermi level (states/eV per cell) = 2.15
- space-group type = P2/m (10)
- raw total energy (eV for the cell shown) = -123.89
- V (Å³ per cell) = 92.3

abc: 3.342 4.534 6.322
angles: 90.00 105.43 90.00
Atoms (fractional coordinates):
Rh 0.500 0.500 0.000
In 0.340 0.000 0.204
In 0.660 0.000 0.796
Sr 0.000 0.500 0.500


(6)
## LaTcOs2 (SCAN)

Data for LaTcOs2 at its PBEsol-relaxed geometry.

## Properties
- density of states at the Fermi level (states/eV per cell) = 3.51
- space-group type = P4/mmm (123)
- raw total energy (eV for the cell shown) = -220.90
- polymorph energy (0 for the lowest one) (meV per atom) = 0
- V (Å³ per cell) = 68.7

abc: 2.946 2.946 7.914
angles: 90.00 90.00 90.00
Atoms (fractional coordinates):
La 0.500 0.500 0.500
Os 0.000 0.000 0.798
Os 0.000 0.000 0.202
Tc 0.500 0.500 0.000


> Look up the raw total energy of the sixth one.

-220.90 eV for the cell shown


> What is the density of states at the Fermi level in the fifth record?

2.15 states/eV per cell